Ba12Tl6Cu: optimized geometry, PBE. Values from VASP.

```
&SYSTEM
  ibrav = 0, nat = 19, ntyp = 3
/
ATOMIC_SPECIES
Ba 137.33 Ba.upf
Tl 204.38 Tl.upf
Cu 63.55 Cu.upf
ATOMIC_POSITIONS crystal
Ba 0.0365 0.9350 0.6829
Ba 0.0650 0.3171 0.9635
Ba 0.1786 0.5817 0.4343
Ba 0.3171 0.9635 0.0650
Ba 0.4183 0.5657 0.8214
Ba 0.4343 0.1786 0.5817
Ba 0.5657 0.8214 0.4183
Ba 0.5817 0.4343 0.1786
Ba 0.6829 0.0365 0.9350
Ba 0.8214 0.4183 0.5657
Ba 0.9350 0.6829 0.0365
Ba 0.9635 0.0650 0.3171
Tl 0.1345 0.2947 0.6249
Tl 0.2947 0.6249 0.1345
Tl 0.3751 0.8655 0.7053
Tl 0.6249 0.1345 0.2947
Tl 0.7053 0.3751 0.8655
Tl 0.8655 0.7053 0.3751
Cu 0.0000 0.0000 0.0000
CELL_PARAMETERS angstrom
7.6574 4.4210 4.8797
-7.6574 4.4210 4.8797
0.0000 -8.8420 4.8797
```

Results
energy of formation: -135 meV/atom
density of states at the Fermi level: 28.66 states/eV per cell
electronic total energy: -2.31 eV per atom